A plane-wave DFT calculation with PBE was carried out for a geometry-optimized SmScAl2 structure. Values from VASP.

Properties
Space group: Fm-3m
Relative energy among the computed polymorphs (eV/atom): 0.032
Formation energy from the elements (eV/f.u.): -1.51
Density of states at the Fermi level (states/eV/atom): 0.5627
Total magnetic moment (μB/f.u.): 0.0

```
&SYSTEM
  ibrav = 0, nat = 4, ntyp = 3
/
ATOMIC_SPECIES
Sc 44.96 Sc.upf
Al 26.98 Al.upf
Sm 150.36 Sm.upf
CELL_PARAMETERS angstrom
-1.750 -1.603 -4.401
1.670 -4.296 -1.940
-3.005 -3.992 -0.192
ATOMIC_POSITIONS angstrom
Sc -1.543 -4.945 -3.266
Al -0.771 -2.473 -1.633
Al -2.314 -7.418 -4.899
Sm 0.000 0.000 0.000
```